No. 1
Here is a relaxed structure of Mg2IrCl from Alexandria via LeMat-Bulk. Energies are from PBE-GGA.

```
8
Lattice="-3.5062 1.7149 5.4526 -5.1874 -3.6410 -2.1906 -2.9928 -3.9884 3.4531" Properties=species:S:1:pos:R:3 pbc="T T T"
Mg -3.5737 -0.3875 3.9750
Mg -4.4430 -3.0513 0.1980
Mg -5.5260 -3.7285 3.8041
Mg -9.8303 -4.6618 5.4530
Ir 0.0000 0.0000 0.0000
Ir -5.4229 -1.6183 5.2683
Cl -4.3468 -0.9631 1.6310
Cl -6.2635 -4.2962 1.4468
```

Calculated values
The calculation puts the calculated volume at 170.1 Å³ per cell. For the uncorrected formation energy, the calculation gives -0.09 eV/atom. The calculation puts the excess energy over the best structure of this formula in the dataset at 251 kJ/mol of formula units. Its symmetry is No. 122.

***

No. 2
Here is a relaxed structure of Zn4CoCu from Alexandria via LeMat-Bulk. Energies are from PBE-GGA.

```
6
Lattice="0.0000 3.4491 3.4491 3.4491 0.0000 3.4491 3.4491 3.4491 0.0000" Properties=species:S:1:pos:R:3 pbc="T T T"
Zn 2.5883 4.3098 4.3098
Zn 4.3098 4.3098 2.5883
Zn 4.3098 2.5883 4.3098
Zn 2.5883 2.5883 2.5883
Co 5.1736 5.1736 5.1736
Cu 0.0000 0.0000 0.0000
```

Calculated values
The calculation puts the calculated volume at 82.1 Å³ per cell. For the formation energy, the calculation gives 0.1926 eV per atom. The calculation puts the excess energy over the best structure of this formula in the dataset at 129 kJ/mol of formula units. Its symmetry is No. 216.

***

No. 3
Here is a relaxed structure of Dy2YMg4 from Alexandria via LeMat-Bulk. Energies are from PBE-GGA.

```
7
Lattice="5.1172 0.0000 -1.6312 -0.5200 5.0908 -1.6312 -0.2151 -0.2382 8.1675" Properties=species:S:1:pos:R:3 pbc="T T T"
Dy 3.3380 3.6963 1.6294
Dy 1.0442 1.1563 3.2756
Y 0.0000 0.0000 0.0000
Mg 1.3326 4.3090 4.1805
Mg 4.1512 1.7636 4.1805
Mg 3.0496 0.5436 0.7245
Mg 0.2310 3.0890 0.7245
```

Calculated values
The calculation puts the calculated volume at 208.8 Å³ per cell. For the formation energy, the calculation gives 0.1350 eV per atom. The calculation puts the excess energy over the best structure of this formula in the dataset at 0 kJ/mol of formula units. Its symmetry is No. 139.

***

Which of these has the highest excess energy over the best structure of this formula in the dataset? Mg2IrCl